An optimized crystal structure of Li2Ca3In5. Source: Alexandria, functional PBE.

* electronic total energy: -0.2007 Ry per atom
* density of states at the Fermi level: 3.81 states/eV/f.u.
* mass density: 4.67 g cm⁻³
* space group: P4/mbm

Unit cell a=4.4988 b=10.5795 c=10.5795 alpha=90.00 beta=90.00 gamma=90.00
With the nearest neighbours (Å) after each atom.
Sites, in units of the cell vectors:
Li (0.0000, 0.1140, 0.6140)  6 In 2.82-2.93, 1 Ca 3.11
Li (0.0000, 0.8860, 0.3860)  6 In 2.82-2.93, 1 Ca 3.11
Li (0.0000, 0.3860, 0.1140)  6 In 2.82-2.93, 1 Ca 3.11
Li (0.0000, 0.6140, 0.8860)  6 In 2.82-2.93, 1 Ca 3.11
Ca (0.0000, 0.3218, 0.8218)  3 Li 3.11-3.17
Ca (0.0000, 0.6782, 0.1782)  3 Li 3.11-3.17
Ca (0.0000, 0.1782, 0.3218)  3 Li 3.11-3.17
Ca (0.0000, 0.8218, 0.6782)  3 Li 3.11-3.17
Ca (0.0000, 0.0000, 0.0000)  8 In 3.28
Ca (0.0000, 0.5000, 0.5000)  8 In 3.28
In (0.5000, 0.2150, 0.0685)  2 Li 2.93, 2 In 3.10-3.24
In (0.5000, 0.7850, 0.9315)  2 Li 2.93, 2 In 3.10-3.24
In (0.5000, 0.9315, 0.2150)  2 Li 2.93, 2 In 3.10-3.24
In (0.5000, 0.0685, 0.7850)  2 Li 2.93, 2 In 3.10-3.24
In (0.5000, 0.2850, 0.5685)  2 Li 2.93, 2 In 3.10-3.24
In (0.5000, 0.7150, 0.4315)  2 Li 2.93, 2 In 3.10-3.24
In (0.5000, 0.5685, 0.7150)  2 Li 2.93, 2 In 3.10-3.24
In (0.5000, 0.4315, 0.2850)  2 Li 2.93, 2 In 3.10-3.24
In (0.5000, 0.0000, 0.5000)  4 Li 2.82, 4 In 3.10
In (0.5000, 0.5000, 0.0000)  4 Li 2.82, 4 In 3.10